(1)
# SbAsHI2

A relaxed SbAsHI2 crystal (PBE-GGA, Alexandria).

The structure in CIF format:
```
data_SbAsHI2
_chemical_formula_sum 'Sb1 As1 H1 I2'
_cell_length_a 5.864
_cell_length_b 5.864
_cell_length_c 5.498
_cell_angle_alpha 90.00
_cell_angle_beta 90.00
_cell_angle_gamma 90.00
_symmetry_space_group_name_H-M 'P 1'
_symmetry_Int_Tables_number 1
loop_
_symmetry_equiv_pos_as_xyz
'x,y,z'
loop_
_atom_site_label
_atom_site_type_symbol
_atom_site_fract_x
_atom_site_fract_y
_atom_site_fract_z
I1 I 0.000 0.500 0.000
I2 I 0.500 0.000 0.000
Sb1 Sb 0.000 0.000 0.500
As1 As 0.000 0.000 0.000
H1 H 0.500 0.500 0.500
```

Results
**E above lowest polymorph**: 103 meV/atom
**Total DFT energy (no corrections)**: -2.31 eV per atom

(2)
# ScHgIr2

A relaxed ScHgIr2 crystal (PBE-GGA, Alexandria).

The structure in CIF format:
```
data_ScHgIr2
_chemical_formula_sum 'Sc1 Hg1 Ir2'
_cell_length_a 5.413
_cell_length_b 5.413
_cell_length_c 4.823
_cell_angle_alpha 65.85
_cell_angle_beta 65.85
_cell_angle_gamma 32.58
_symmetry_space_group_name_H-M 'P 1'
_symmetry_Int_Tables_number 1
loop_
_symmetry_equiv_pos_as_xyz
'x,y,z'
loop_
_atom_site_label
_atom_site_type_symbol
_atom_site_fract_x
_atom_site_fract_y
_atom_site_fract_z
Hg1 Hg 0.262 0.262 0.178
Ir1 Ir 0.013 0.013 0.066
Ir2 Ir 0.735 0.735 0.689
Sc1 Sc 0.490 0.490 0.567
```

Results
**E_form**: -204 meV/atom
**Total DFT energy (no corrections)**: -6.29 eV per atom

(3)
# PrZn2Pt

A relaxed PrZn2Pt crystal (PBE-GGA, Alexandria).

The structure in CIF format:
```
data_PrZn2Pt
_chemical_formula_sum 'Pr1 Zn2 Pt1'
_cell_length_a 4.347
_cell_length_b 4.347
_cell_length_c 5.633
_cell_angle_alpha 67.30
_cell_angle_beta 67.30
_cell_angle_gamma 60.00
_symmetry_space_group_name_H-M 'P 1'
_symmetry_Int_Tables_number 1
loop_
_symmetry_equiv_pos_as_xyz
'x,y,z'
loop_
_atom_site_label
_atom_site_type_symbol
_atom_site_fract_x
_atom_site_fract_y
_atom_site_fract_z
Pr1 Pr 0.000 0.000 0.000
Zn1 Zn 0.789 0.789 0.634
Zn2 Zn 0.211 0.211 0.366
Pt1 Pt 0.500 0.500 0.500
```

Results
**E_form**: -579 meV/atom
**Total DFT energy (no corrections)**: -3.92 eV per atom

(4)
# BaCoHg2

A relaxed BaCoHg2 crystal (PBE-GGA, Alexandria).

The structure in CIF format:
```
data_BaCoHg2
_chemical_formula_sum 'Ba1 Co1 Hg2'
_cell_length_a 5.542
_cell_length_b 5.542
_cell_length_c 5.542
_cell_angle_alpha 126.02
_cell_angle_beta 115.03
_cell_angle_gamma 89.36
_symmetry_space_group_name_H-M 'P 1'
_symmetry_Int_Tables_number 1
loop_
_symmetry_equiv_pos_as_xyz
'x,y,z'
loop_
_atom_site_label
_atom_site_type_symbol
_atom_site_fract_x
_atom_site_fract_y
_atom_site_fract_z
Ba1 Ba 0.506 0.506 0.000
Co1 Co 0.137 0.637 0.500
Hg1 Hg 0.059 0.059 0.000
Hg2 Hg 0.798 0.298 0.500
```

Results
**E_form**: 172 meV/atom
**Total DFT energy (no corrections)**: -2.24 eV per atom

(5)
# SrBeMo3

A relaxed SrBeMo3 crystal (PBE-GGA, Alexandria).

The structure in CIF format:
```
data_SrBeMo3
_chemical_formula_sum 'Sr1 Be1 Mo3'
_cell_length_a 4.518
_cell_length_b 4.518
_cell_length_c 4.518
_cell_angle_alpha 90.00
_cell_angle_beta 90.00
_cell_angle_gamma 90.00
_symmetry_space_group_name_H-M 'P 1'
_symmetry_Int_Tables_number 1
loop_
_symmetry_equiv_pos_as_xyz
'x,y,z'
loop_
_atom_site_label
_atom_site_type_symbol
_atom_site_fract_x
_atom_site_fract_y
_atom_site_fract_z
Sr1 Sr 0.500 0.500 0.500
Mo1 Mo 0.000 0.500 0.000
Mo2 Mo 0.000 0.000 0.500
Mo3 Mo 0.500 0.000 0.000
Be1 Be 0.000 0.000 0.000
```

Results
**E above lowest polymorph**: 0 meV/atom
**E_form**: 1161 meV/atom
**Total DFT energy (no corrections)**: -6.42 eV per atom

(6)
# AcSm2Ga2

A relaxed AcSm2Ga2 crystal (PBE-GGA, Alexandria).

The structure in CIF format:
```
data_AcSm2Ga2
_chemical_formula_sum 'Ac2 Sm4 Ga4'
_cell_length_a 6.391
_cell_length_b 8.305
_cell_length_c 7.981
_cell_angle_alpha 126.70
_cell_angle_beta 113.60
_cell_angle_gamma 90.00
_symmetry_space_group_name_H-M 'P 1'
_symmetry_Int_Tables_number 1
loop_
_symmetry_equiv_pos_as_xyz
'x,y,z'
loop_
_atom_site_label
_atom_site_type_symbol
_atom_site_fract_x
_atom_site_fract_y
_atom_site_fract_z
Ac1 Ac 0.640 0.750 0.000
Ac2 Ac 0.360 0.250 0.000
Sm1 Sm 0.720 0.864 0.543
Sm2 Sm 0.177 0.636 0.457
Sm3 Sm 0.280 0.136 0.457
Sm4 Sm 0.823 0.364 0.543
Ga1 Ga 0.199 0.651 0.086
Ga2 Ga 0.887 0.151 0.086
Ga3 Ga 0.801 0.349 0.914
Ga4 Ga 0.113 0.849 0.914
```

Results
**E_form**: -389 meV/atom
**Total DFT energy (no corrections)**: -4.31 eV per atom

no.,total magnetization (μB per formula unit)
1,2.6
2,0.0
3,0.0
4,1.1
5,0.0
6,0.0